Record 1
Material: BaLiPb2Se4
Method: DFT, PBE
State: relaxed

abc: 7.490 7.490 14.742
angles: 90.00 90.00 145.91
Fractional coordinates of all 16 atoms:
Ba  0.110  0.890  0.750
Ba  0.890  0.110  0.250
Li  0.152  0.848  0.250
Li  0.848  0.152  0.750
Pb  0.366  0.634  0.557
Pb  0.366  0.634  0.943
Pb  0.634  0.366  0.057
Pb  0.634  0.366  0.443
Se  0.000  0.000  0.000
Se  0.000  0.000  0.500
Se  0.271  0.729  0.122
Se  0.271  0.729  0.378
Se  0.438  0.562  0.750
Se  0.562  0.438  0.250
Se  0.729  0.271  0.622
Se  0.729  0.271  0.878

Computed properties:
The value obtained for the density of states at the Fermi level is 0.59 states/eV per atom. For the formation energy (no corrections), the calculation gives -969 meV per atom. The raw total energy is -65.9 eV per cell.


Record 2
Material: BaLi2Sm2Pb2
Method: DFT, PBE
State: relaxed

abc: 10.302 10.302 10.302
angles: 28.24 28.24 28.24
Fractional coordinates of all 7 atoms:
Ba  0.000  0.000  0.000
Li  0.425  0.425  0.425
Li  0.575  0.575  0.575
Sm  0.133  0.133  0.133
Sm  0.867  0.867  0.867
Pb  0.251  0.251  0.251
Pb  0.749  0.749  0.749

Computed properties:
The value obtained for the density of states at the Fermi level is 0.45 states/eV per atom. The raw total energy is -25.3 eV per cell. The formation energy comes out at -386.1 meV per atom.


Record 3
Material: BaLi4Sn2Pb
Method: DFT, PBE
State: relaxed

abc: 9.712 9.712 9.712
angles: 29.47 29.47 29.47
Fractional coordinates of all 8 atoms:
Ba  0.000  0.000  0.000
Li  0.130  0.130  0.130
Li  0.403  0.403  0.403
Li  0.597  0.597  0.597
Li  0.870  0.870  0.870
Sn  0.247  0.247  0.247
Sn  0.753  0.753  0.753
Pb  0.500  0.500  0.500

Computed properties:
The value obtained for the density of states at the Fermi level is 0.09 states/eV per atom. The raw total energy is -24.2 eV per cell. The formation energy comes out at -359.9 meV per atom.


Record 4
Material: BaLiSnPb2
Method: DFT, PBE
State: relaxed

abc: 5.363 5.363 5.312
angles: 90.00 90.00 90.00
Fractional coordinates of all 5 atoms:
Ba  0.000  0.000  0.000
Li  0.500  0.500  0.500
Sn  0.500  0.500  0.000
Pb  0.000  0.500  0.500
Pb  0.500  0.000  0.500

Computed properties:
The value obtained for the density of states at the Fermi level is 0.72 states/eV per atom. The raw total energy is -16.5 eV per cell. The formation energy comes out at -251.9 meV per atom.


Record 5
Material: BaLiSnPb
Method: DFT, PBE
State: relaxed

abc: 5.629 5.629 5.629
angles: 60.00 60.00 60.00
Fractional coordinates of all 4 atoms:
Ba  0.000  0.000  0.000
Li  0.500  0.500  0.500
Sn  0.250  0.250  0.250
Pb  0.750  0.750  0.750

Computed properties:
The value obtained for the density of states at the Fermi level is 0.62 states/eV per atom. The raw total energy is -12.7 eV per cell. The formation energy comes out at -296.8 meV per atom.


Record 6
Material: BaLi4SnPb2
Method: DFT, PBE
State: relaxed

abc: 9.849 9.849 9.849
angles: 29.16 29.16 29.16
Fractional coordinates of all 8 atoms:
Ba  0.000  0.000  0.000
Li  0.133  0.133  0.133
Li  0.405  0.405  0.405
Li  0.595  0.595  0.595
Li  0.867  0.867  0.867
Sn  0.500  0.500  0.500
Pb  0.247  0.247  0.247
Pb  0.753  0.753  0.753

Computed properties:
The value obtained for the density of states at the Fermi level is 0.18 states/eV per atom. The raw total energy is -23.5 eV per cell. The formation energy comes out at -313.1 meV per atom.


Record 7
Material: BaSrLiPb
Method: DFT, PBE
State: relaxed

abc: 5.938 5.938 5.938
angles: 60.00 60.00 60.00
Fractional coordinates of all 4 atoms:
Ba  0.000  0.000  0.000
Sr  0.500  0.500  0.500
Li  0.250  0.250  0.250
Pb  0.750  0.750  0.750

Computed properties:
The value obtained for the density of states at the Fermi level is 0.54 states/eV per atom. The raw total energy is -10.7 eV per cell. The formation energy comes out at -359.4 meV per atom.


Record 8
Material: Ba2SrLi2Pb2
Method: DFT, PBE
State: relaxed

abc: 10.980 10.980 10.980
angles: 27.54 27.54 27.54
Fractional coordinates of all 7 atoms:
Ba  0.123  0.123  0.123
Ba  0.877  0.877  0.877
Sr  0.000  0.000  0.000
Li  0.386  0.386  0.386
Li  0.614  0.614  0.614
Pb  0.267  0.267  0.267
Pb  0.733  0.733  0.733

Computed properties:
The value obtained for the density of states at the Fermi level is 0.16 states/eV per atom. The raw total energy is -19.7 eV per cell. The formation energy comes out at -420.4 meV per atom.


Record 9
Material: BaLiTbPb
Method: DFT, PBE
State: relaxed

abc: 5.693 5.693 5.693
angles: 60.00 60.00 60.00
Fractional coordinates of all 4 atoms:
Ba  0.000  0.000  0.000
Li  0.750  0.750  0.750
Tb  0.500  0.500  0.500
Pb  0.250  0.250  0.250

Computed properties:
The value obtained for the density of states at the Fermi level is 0.54 states/eV per atom. The raw total energy is -13.0 eV per cell. The formation energy comes out at -206.6 meV per atom.


Record 10
Material: BaLiTcPb2
Method: DFT, PBE
State: relaxed

abc: 6.160 6.160 4.920
angles: 90.00 90.00 90.00
Fractional coordinates of all 5 atoms:
Ba  0.000  0.000  0.000
Li  0.000  0.000  0.500
Tc  0.500  0.500  0.500
Pb  0.000  0.500  0.000
Pb  0.500  0.000  0.000

Computed properties:
The value obtained for the density of states at the Fermi level is 1.44 states/eV per atom. The raw total energy is -12.0 eV per cell. The formation energy comes out at 1923.8 meV per atom.


Record 11
Material: BaLiTl4Pb2
Method: DFT, PBE
State: relaxed

abc: 9.792 9.792 9.792
angles: 33.06 33.06 33.06
Fractional coordinates of all 8 atoms:
Ba  0.000  0.000  0.000
Li  0.500  0.500  0.500
Tl  0.131  0.131  0.131
Tl  0.388  0.388  0.388
Tl  0.612  0.612  0.612
Tl  0.869  0.869  0.869
Pb  0.249  0.249  0.249
Pb  0.751  0.751  0.751

Computed properties:
The value obtained for the density of states at the Fermi level is 0.49 states/eV per atom. The raw total energy is -22.3 eV per cell. The formation energy comes out at -193.8 meV per atom.


Record 12
Material: Ba2LiTl6Pb
Method: DFT, PBE
State: relaxed

abc: 14.234 14.234 14.234
angles: 30.78 30.78 30.78
Fractional coordinates of all 20 atoms:
Ba  0.107  0.107  0.107
Ba  0.279  0.279  0.279
Ba  0.721  0.721  0.721
Ba  0.893  0.893  0.893
Li  0.000  0.000  0.000
Li  0.500  0.500  0.500
Tl  0.085  0.665  0.665
Tl  0.215  0.215  0.658
Tl  0.215  0.658  0.215
Tl  0.335  0.335  0.915
Tl  0.335  0.915  0.335
Tl  0.342  0.785  0.785
Tl  0.658  0.215  0.215
Tl  0.665  0.085  0.665
Tl  0.665  0.665  0.085
Tl  0.785  0.342  0.785
Tl  0.785  0.785  0.342
Tl  0.915  0.335  0.335
Pb  0.425  0.425  0.425
Pb  0.575  0.575  0.575

Computed properties:
The value obtained for the density of states at the Fermi level is 0.43 states/eV per atom. The raw total energy is -51.6 eV per cell. The formation energy comes out at -215.7 meV per atom.


Record 13
Material: BaLi4Tl2Pb
Method: DFT, PBE
State: relaxed

abc: 10.298 10.298 10.298
angles: 27.51 27.51 27.51
Fractional coordinates of all 8 atoms:
Ba  0.000  0.000  0.000
Li  0.134  0.134  0.134
Li  0.409  0.409  0.409
Li  0.591  0.591  0.591
Li  0.866  0.866  0.866
Tl  0.247  0.247  0.247
Tl  0.753  0.753  0.753
Pb  0.500  0.500  0.500

Computed properties:
The value obtained for the density of states at the Fermi level is 0.57 states/eV per atom. The raw total energy is -19.9 eV per cell. The formation energy comes out at -238.8 meV per atom.


Record 14
Material: BaLiTl2Pb
Method: DFT, PBE
State: relaxed

abc: 6.356 7.009 6.990
angles: 90.00 90.00 90.00
Fractional coordinates of all 10 atoms:
Ba  0.250  0.000  0.227
Ba  0.750  0.000  0.773
Li  0.000  0.500  0.000
Li  0.500  0.500  0.000
Tl  0.250  0.259  0.735
Tl  0.250  0.741  0.735
Tl  0.750  0.259  0.265
Tl  0.750  0.741  0.265
Pb  0.250  0.500  0.355
Pb  0.750  0.500  0.645

Computed properties:
The value obtained for the density of states at the Fermi level is 0.41 states/eV per atom. The value obtained for the energy relative to the lowest polymorph listed for this composition is 0 meV per atom. The raw total energy is -27.3 eV per cell. The formation energy comes out at -277.3 meV per atom.


Record 15
Material: Ba2Li3Tl12Pb
Method: DFT, PBE
State: relaxed

abc: 12.531 12.531 12.531
angles: 35.13 35.13 35.13
Fractional coordinates of all 18 atoms:
Ba  0.138  0.138  0.138
Ba  0.862  0.862  0.862
Li  0.000  0.500  0.500
Li  0.500  0.000  0.500
Li  0.500  0.500  0.000
Tl  0.088  0.610  0.610
Tl  0.096  0.096  0.682
Tl  0.096  0.682  0.096
Tl  0.318  0.904  0.904
Tl  0.390  0.390  0.912
Tl  0.390  0.912  0.390
Tl  0.610  0.088  0.610
Tl  0.610  0.610  0.088
Tl  0.682  0.096  0.096
Tl  0.904  0.318  0.904
Tl  0.904  0.904  0.318
Tl  0.912  0.390  0.390
Pb  0.500  0.500  0.500

Computed properties:
The value obtained for the density of states at the Fermi level is 0.43 states/eV per atom. The raw total energy is -43.3 eV per cell. The formation energy comes out at -88.7 meV per atom.


Record 16
Material: BaLiTl2Pb
Method: DFT, PBE
State: relaxed

abc: 5.371 5.371 5.379
angles: 90.00 90.00 90.00
Fractional coordinates of all 5 atoms:
Ba  0.000  0.000  0.000
Li  0.500  0.500  0.500
Tl  0.000  0.500  0.500
Tl  0.500  0.000  0.500
Pb  0.500  0.500  0.000

Computed properties:
The value obtained for the density of states at the Fermi level is 0.36 states/eV per atom. The value obtained for the energy relative to the lowest polymorph listed for this composition is 18 meV per atom. The raw total energy is -13.6 eV per cell. The formation energy comes out at -259.6 meV per atom.


Record 17
Material: Ba3Li2Tl6Pb
Method: DFT, PBE
State: relaxed

abc: 6.506 6.506 11.514
angles: 90.00 90.00 120.00
Fractional coordinates of all 12 atoms:
Ba  0.000  0.000  0.000
Ba  0.333  0.667  0.573
Ba  0.667  0.333  0.427
Li  0.333  0.667  0.881
Li  0.667  0.333  0.119
Tl  0.171  0.343  0.254
Tl  0.171  0.829  0.254
Tl  0.343  0.171  0.746
Tl  0.657  0.829  0.254
Tl  0.829  0.171  0.746
Tl  0.829  0.657  0.746
Pb  0.000  0.000  0.500

Computed properties:
The value obtained for the density of states at the Fermi level is 0.64 states/eV per atom. The raw total energy is -29.9 eV per cell. The formation energy comes out at -198.1 meV per atom.


Record 18
Material: BaLi2VPb
Method: DFT, PBE
State: relaxed

abc: 5.310 5.310 6.555
angles: 90.00 90.00 90.00
Fractional coordinates of all 5 atoms:
Ba  0.000  0.000  0.000
Li  0.000  0.500  0.500
Li  0.500  0.000  0.500
V  0.500  0.500  0.000
Pb  0.000  0.000  0.500

Computed properties:
The value obtained for the density of states at the Fermi level is 1.61 states/eV per atom. The raw total energy is -15.2 eV per cell. The formation energy comes out at 683.0 meV per atom.


Record 19
Material: Ba2LiVPb
Method: DFT, PBE
State: relaxed

abc: 6.781 6.781 5.323
angles: 90.00 90.00 90.00
Fractional coordinates of all 5 atoms:
Ba  0.000  0.500  0.000
Ba  0.500  0.000  0.000
Li  0.000  0.000  0.500
V  0.500  0.500  0.500
Pb  0.500  0.500  0.000

Computed properties:
The value obtained for the density of states at the Fermi level is 0.92 states/eV per atom. The raw total energy is -16.5 eV per cell. The formation energy comes out at 423.7 meV per atom.


Record 20
Material: BaLi2PbW
Method: DFT, PBE
State: relaxed

abc: 4.629 4.629 6.056
angles: 90.00 90.00 90.00
Fractional coordinates of all 5 atoms:
Ba  0.000  0.000  0.000
Li  0.000  0.500  0.000
Li  0.500  0.000  0.000
Pb  0.000  0.000  0.500
W  0.500  0.500  0.500

Computed properties:
The value obtained for the density of states at the Fermi level is 1.93 states/eV per atom. The raw total energy is -12.1 eV per cell. The formation energy comes out at 2057.9 meV per atom.


Record 21
Material: BaLiZnPb
Method: DFT, PBE
State: relaxed

abc: 5.359 5.359 5.359
angles: 60.00 60.00 60.00
Fractional coordinates of all 4 atoms:
Ba  0.000  0.000  0.000
Li  0.250  0.250  0.250
Zn  0.750  0.750  0.750
Pb  0.500  0.500  0.500

Computed properties:
The value obtained for the density of states at the Fermi level is 0.45 states/eV per atom. The raw total energy is -9.8 eV per cell. The formation energy comes out at -249.7 meV per atom.


Record 22
Material: Ba2Li3ZnPb4
Method: DFT, PBE
State: relaxed

abc: 4.891 4.891 11.804
angles: 90.00 90.00 90.00
Fractional coordinates of all 10 atoms:
Ba  0.000  0.500  0.240
Ba  0.500  0.000  0.760
Li  0.000  0.000  0.000
Li  0.000  0.500  0.635
Li  0.500  0.000  0.365
Zn  0.500  0.500  0.000
Pb  0.000  0.000  0.500
Pb  0.000  0.500  0.876
Pb  0.500  0.000  0.124
Pb  0.500  0.500  0.500

Computed properties:
The value obtained for the density of states at the Fermi level is 0.59 states/eV per atom. The raw total energy is -29.5 eV per cell. The formation energy comes out at -380.4 meV per atom.


Record 23
Material: Ba4LiPd2
Method: DFT, PBE
State: relaxed

abc: 8.285 8.285 9.010
angles: 105.32 105.32 71.93
Fractional coordinates of all 14 atoms:
Ba  0.000  0.000  0.000
Ba  0.004  0.004  0.525
Ba  0.004  0.548  0.148
Ba  0.026  0.559  0.660
Ba  0.520  0.520  0.014
Ba  0.531  0.531  0.532
Ba  0.548  0.004  0.148
Ba  0.559  0.026  0.660
Li  0.201  0.201  0.864
Li  0.220  0.220  0.369
Pd  0.323  0.840  0.805
Pd  0.725  0.725  0.873
Pd  0.738  0.738  0.384
Pd  0.840  0.323  0.805

Computed properties:
The value obtained for the density of states at the Fermi level is 0.64 states/eV per atom. The raw total energy is -44.3 eV per cell. The formation energy comes out at -307.6 meV per atom.


Record 24
Material: BaLi3Pd
Method: DFT, PBE
State: relaxed

abc: 5.030 5.030 5.030
angles: 90.00 90.00 90.00
Fractional coordinates of all 5 atoms:
Ba  0.000  0.000  0.000
Li  0.000  0.000  0.500
Li  0.000  0.500  0.000
Li  0.500  0.000  0.000
Pd  0.500  0.500  0.500

Computed properties:
The value obtained for the density of states at the Fermi level is 0.64 states/eV per atom. The value obtained for the energy relative to the lowest polymorph listed for this composition is 1342 meV per atom. The raw total energy is -7.2 eV per cell. The formation energy comes out at 1137.8 meV per atom.